No. 1
PBE CrFe2H, relaxed; size of the total moment = 0.200 μB/atom; symmetry = Fm-3m (225); raw total energy = -27.59 eV/cell
1.0
2.949 -2.299 -0.389
-0.409 -3.303 -1.748
1.532 -0.535 -3.391
H Fe Cr
1 2 1
Direct
0.000 0.000 0.000
0.750 0.750 0.750
0.250 0.250 0.250
0.500 0.500 0.500

***

No. 2
PBE Ba3GaP, relaxed; size of the total moment = 0.382 μB/atom; energy of formation from the pure elements = -0.40 eV per atom; symmetry = Pm-3m (221); raw total energy = -16.20 eV/cell
1.0
-2.152 3.159 4.891
-5.347 0.991 -2.993
-2.304 -5.250 2.378
P Ba Ga
1 3 1
Direct
0.000 0.000 0.000
0.000 0.000 0.500
0.500 0.000 0.000
0.000 0.500 0.000
0.500 0.500 0.500

***

No. 3
PBE KZr2Hg, relaxed; size of the total moment = 0.000 μB/atom; energy of formation from the pure elements = 0.45 eV per atom; symmetry = Cmmm (65); raw total energy = -16.69 eV/cell
1.0
3.126 0.004 0.000
-1.409 2.790 0.000
0.000 0.000 12.198
K Hg Zr
1 1 2
Direct
0.500 0.500 0.750
0.500 0.500 0.250
0.000 0.000 0.463
0.000 0.000 0.037

***

No. 4
PBE PrTm5Tl, relaxed; size of the total moment = 0.000 μB/atom; energy of formation from the pure elements = 0.12 eV per atom; symmetry = Imm2 (44); raw total energy = -28.68 eV/cell
1.0
-1.246 -10.871 -1.372
2.142 -1.006 6.031
-3.356 6.138 -1.264
Tm Pr Tl
5 1 1
Direct
0.352 0.240 0.000
0.096 0.500 0.000
0.326 0.246 0.491
0.835 0.754 0.509
0.352 0.760 0.000
0.742 0.000 0.000
0.828 0.500 0.000

***

Number 1: V 37.6 Å³/cell. Number 2: V 239.1 Å³/cell. Number 3: V 106.5 Å³/cell. Number 4: V 221.8 Å³/cell.